Material: VTcPt14
Method: DFT, PBE
State: optimized geometry

a = 5.5926 Å, b = 5.5926 Å, c = 7.8670 Å
α = 90.00°, β = 90.00°, γ = 90.00°
Atoms (fractional coordinates):
V 0.0000 0.0000 0.0000
Tc 0.5000 0.5000 0.0000
Pt 0.0000 0.0000 0.5000
Pt 0.0000 0.5000 0.0000
Pt 0.0000 0.5000 0.5000
Pt 0.2491 0.2491 0.2407
Pt 0.2491 0.2491 0.7593
Pt 0.2491 0.7509 0.2407
Pt 0.2491 0.7509 0.7593
Pt 0.5000 0.0000 0.0000
Pt 0.5000 0.0000 0.5000
Pt 0.5000 0.5000 0.5000
Pt 0.7509 0.2491 0.2407
Pt 0.7509 0.2491 0.7593
Pt 0.7509 0.7509 0.2407
Pt 0.7509 0.7509 0.7593

Calculated values
M_tot (μB per cell): 0.42
Energy of formation (meV/atom): -181